(1)
Computed, not measured: NpReW after structural relaxation at the PBE level of DFT.

Its final energy is -143.27 eV for the cell shown. Its calculated formation energy is 778 meV per atom. As for the crystal system: cubic.

The structure belongs to space group F-43m (No. 216); the cell edges are 6.294, 6.294 and 6.294 Å and the angles 90.00°, 90.00° and 90.00°. The inequivalent atoms are Np at (0.000, 0.000, 0.000), Re at (0.250, 0.250, 0.750) and W at (0.000, 0.000, 0.500).



(2)
Computed, not measured: NpZnRe after structural relaxation at the PBE level of DFT.

Its final energy is -98.38 eV for the cell shown. Its calculated formation energy is 621 meV per atom. As for the crystal system: cubic. The calculation puts the distance to the lowest polymorph of the same formula at 0 meV/atom.

The structure belongs to space group F-43m (No. 216); the cell edges are 6.285, 6.285 and 6.285 Å and the angles 90.00°, 90.00° and 90.00°. The inequivalent atoms are Np at (0.000, 0.000, 0.000), Zn at (0.000, 0.000, 0.500) and Re at (0.250, 0.250, 0.750).



(3)
Computed, not measured: NpS2 after structural relaxation at the PBE level of DFT.

Its final energy is -97.27 eV for the cell shown. As for the crystal system: hexagonal.

The structure belongs to space group P-6m2 (No. 187); the cell edges are 3.7696, 3.7696 and 25.0720 Å and the angles 90.00°, 90.00° and 120.00°. The inequivalent atoms are Np at (0.0000, 0.0000, 0.0000), Np at (0.0000, 0.0000, 0.2500), Np at (0.6667, 0.3333, 0.5000), S at (0.0000, 0.0000, 0.4368), S at (0.3333, 0.6667, 0.1870), S at (0.3333, 0.6667, 0.3132) and S at (0.6667, 0.3333, 0.0632).



(4)
Computed, not measured: NpS2 after structural relaxation at the PBE level of DFT.

Its final energy is -194.54 eV for the cell shown. As for the crystal system: orthorhombic.

The structure belongs to space group C222_1 (No. 20); the cell edges are 3.765, 6.520 and 34.351 Å and the angles 90.00°, 90.00° and 90.00°. The inequivalent atoms are Np at (0.240, 0.001, 0.410), S at (0.240, 0.334, 0.363) and S at (0.240, 0.334, 0.456).



(5)
Computed, not measured: NpS after structural relaxation at the PBE level of DFT.

Its final energy is -79.19 eV for the cell shown. As for the crystal system: cubic.

The structure belongs to space group Fm-3m (No. 225); the cell edges are 5.502, 5.502 and 5.502 Å and the angles 90.00°, 90.00° and 90.00°. The inequivalent atoms are Np at (0.000, 0.000, 0.000) and S at (0.000, 0.000, 0.500).



(6)
Computed, not measured: NpS after structural relaxation at the PBE level of DFT.

Its final energy is -19.31 eV for the cell shown. As for the crystal system: hexagonal.

The structure belongs to space group P-6m2 (No. 187); the cell edges are 3.6728, 3.6728 and 3.7268 Å and the angles 90.00°, 90.00° and 120.00°. The inequivalent atoms are Np at (0.0000, 0.0000, 0.0000) and S at (0.6667, 0.3333, 0.5000).



(7)
Computed, not measured: NpS2 after structural relaxation at the PBE level of DFT.

Its final energy is -74.76 eV for the cell shown. As for the crystal system: trigonal.

The structure belongs to space group R-3m (No. 166, hexagonal axes); the cell edges are 4.0042, 4.0042 and 18.9235 Å and the angles 90.00°, 90.00° and 120.00°. The inequivalent atoms are Np at (0.0000, 0.0000, 0.0000) and S at (0.0000, 0.0000, 0.4043).



(8)
Computed, not measured: Np3S5 after structural relaxation at the PBE level of DFT.

Its final energy is -283.61 eV for the cell shown. As for the crystal system: orthorhombic. The calculation puts the distance to the lowest polymorph of the same formula at 0 meV/atom.

The structure belongs to space group Pnma (No. 62); the cell edges are 11.456, 7.872 and 7.274 Å and the angles 90.00°, 90.00° and 90.00°. The inequivalent atoms are Np at (0.009, 0.250, 0.077), Np at (0.179, 0.003, 0.522), S at (0.001, 0.750, 0.537), S at (0.096, 0.548, 0.169), S at (0.190, 0.250, 0.830) and S at (0.219, 0.750, 0.799).



(9)
Computed, not measured: NpS after structural relaxation at the PBE level of DFT.

Its final energy is -74.57 eV for the cell shown. As for the crystal system: cubic.

The structure belongs to space group F-43m (No. 216); the cell edges are 6.150, 6.150 and 6.150 Å and the angles 90.00°, 90.00° and 90.00°. The inequivalent atoms are Np at (0.000, 0.000, 0.000) and S at (0.250, 0.250, 0.750).



(10)
Computed, not measured: NpS2 after structural relaxation at the PBE level of DFT.

Its final energy is -97.30 eV for the cell shown. As for the crystal system: hexagonal.

The structure belongs to space group P6_3mc (No. 186); the cell edges are 3.7615, 3.7615 and 25.7025 Å and the angles 90.00°, 90.00° and 120.00°. The inequivalent atoms are Np at (0.3333, 0.6667, 0.0000), Np at (0.3333, 0.6667, 0.2534), S at (0.0000, 0.0000, 0.1916), S at (0.0000, 0.0000, 0.3150), S at (0.3333, 0.6667, 0.4382) and S at (0.3333, 0.6667, 0.5618).



(11)
Computed, not measured: NpSeS after structural relaxation at the PBE level of DFT.

Its final energy is -95.86 eV for the cell shown. As for the crystal system: triclinic.

The structure belongs to space group P-1 (No. 2); the cell edges are 6.554, 8.175 and 8.177 Å and the angles 60.01°, 70.85° and 89.33°. The inequivalent atoms are Np at (0.010, 0.256, 0.000), Np at (0.015, 0.756, 0.499), Se at (0.240, 0.121, 0.746), Se at (0.242, 0.618, 0.247), S at (0.218, 0.123, 0.260) and S at (0.221, 0.621, 0.761).



(12)
Computed, not measured: Np2Se3S after structural relaxation at the PBE level of DFT.

Its final energy is -45.98 eV for the cell shown. As for the crystal system: monoclinic.

The structure belongs to space group Pm (No. 6); the cell edges are 6.700, 3.868 and 12.010 Å and the angles 90.00°, 106.20° and 90.00°. The inequivalent atoms are Np at (0.000, 0.000, 0.000), Np at (0.493, 0.500, 0.999), Se at (0.241, 0.500, 0.153), Se at (0.590, 0.000, 0.851), Se at (0.736, 0.000, 0.148) and S at (0.097, 0.500, 0.869).



(13)
Computed, not measured: SmNp3S6 after structural relaxation at the PBE level of DFT.

Its final energy is -167.57 eV for the cell shown. As for the crystal system: monoclinic.

The structure belongs to space group P2_1/m (No. 11); the cell edges are 10.875, 3.971 and 11.339 Å and the angles 90.00°, 107.97° and 90.00°. The inequivalent atoms are Sm at (0.048, 0.250, 0.193), Np at (0.160, 0.250, 0.583), Np at (0.318, 0.750, 0.999), Np at (0.436, 0.250, 0.332), S at (0.084, 0.750, 0.404), S at (0.117, 0.250, 0.962), S at (0.196, 0.750, 0.748), S at (0.261, 0.750, 0.226), S at (0.398, 0.250, 0.559) and S at (0.483, 0.250, 0.114).



(14)
Computed, not measured: Sr2NpS4 after structural relaxation at the PBE level of DFT.

Its final energy is -90.52 eV for the cell shown. As for the crystal system: orthorhombic.

The structure belongs to space group Pbam (No. 55); the cell edges are 7.359, 12.083 and 4.205 Å and the angles 90.00°, 90.00° and 90.00°. The inequivalent atoms are Sr at (0.084, 0.183, 0.000), Np at (0.000, 0.500, 0.500), S at (0.133, 0.703, 0.500) and S at (0.227, 0.452, 0.000).



(15)
Computed, not measured: SrNp2S4 after structural relaxation at the PBE level of DFT.

Its final energy is -220.95 eV for the cell shown. As for the crystal system: orthorhombic.

The structure belongs to space group Cmcm (No. 63); the cell edges are 3.990, 13.019 and 13.334 Å and the angles 90.00°, 90.00° and 90.00°. The inequivalent atoms are Sr at (0.000, 0.112, 0.250), Np at (0.000, 0.368, 0.064), S at (0.000, 0.000, 0.000), S at (0.000, 0.267, 0.616) and S at (0.000, 0.447, 0.250).



(16)
Computed, not measured: NpScSb after structural relaxation at the PBE level of DFT.

Its final energy is -93.24 eV for the cell shown. As for the crystal system: cubic.

The structure belongs to space group F-43m (No. 216); the cell edges are 7.054, 7.054 and 7.054 Å and the angles 90.00°, 90.00° and 90.00°. The inequivalent atoms are Np at (0.000, 0.000, 0.000), Sc at (0.000, 0.000, 0.500) and Sb at (0.250, 0.250, 0.250).



(17)
Computed, not measured: NpSiSb after structural relaxation at the PBE level of DFT.

Its final energy is -87.25 eV for the cell shown. As for the crystal system: cubic.

The structure belongs to space group F-43m (No. 216); the cell edges are 6.660, 6.660 and 6.660 Å and the angles 90.00°, 90.00° and 90.00°. The inequivalent atoms are Np at (0.000, 0.000, 0.000), Si at (0.250, 0.250, 0.250) and Sb at (0.000, 0.000, 0.500).



(18)
Computed, not measured: TbNpSb after structural relaxation at the PBE level of DFT.

Its final energy is -81.10 eV for the cell shown. As for the crystal system: cubic.

The structure belongs to space group F-43m (No. 216); the cell edges are 7.297, 7.297 and 7.297 Å and the angles 90.00°, 90.00° and 90.00°. The inequivalent atoms are Tb at (0.000, 0.000, 0.000), Np at (0.250, 0.250, 0.750) and Sb at (0.000, 0.000, 0.500).



(19)
Computed, not measured: NpTlSb after structural relaxation at the PBE level of DFT.

Its final energy is -71.91 eV for the cell shown. As for the crystal system: cubic.

The structure belongs to space group F-43m (No. 216); the cell edges are 7.270, 7.270 and 7.270 Å and the angles 90.00°, 90.00° and 90.00°. The inequivalent atoms are Np at (0.000, 0.000, 0.000), Tl at (0.250, 0.250, 0.250) and Sb at (0.000, 0.000, 0.500).



(20)
Computed, not measured: TmNpSb after structural relaxation at the PBE level of DFT.

Its final energy is -85.53 eV for the cell shown. As for the crystal system: cubic. The calculation puts the distance to the lowest polymorph of the same formula at 0 meV/atom.

The structure belongs to space group F-43m (No. 216); the cell edges are 7.193, 7.193 and 7.193 Å and the angles 90.00°, 90.00° and 90.00°. The inequivalent atoms are Tm at (0.000, 0.000, 0.000), Np at (0.000, 0.000, 0.500) and Sb at (0.250, 0.250, 0.750).



(21)
Computed, not measured: NpUSb after structural relaxation at the PBE level of DFT.

Its final energy is -107.36 eV for the cell shown. As for the crystal system: cubic. The calculation puts the distance to the lowest polymorph of the same formula at 0 meV/atom.

The structure belongs to space group F-43m (No. 216); the cell edges are 6.970, 6.970 and 6.970 Å and the angles 90.00°, 90.00° and 90.00°. The inequivalent atoms are Np at (0.000, 0.000, 0.000), U at (0.250, 0.250, 0.250) and Sb at (0.250, 0.250, 0.750).



(22)
Computed, not measured: NpSc after structural relaxation at the PBE level of DFT.

Its final energy is -66.64 eV for the cell shown. Its calculated formation energy is 1220 meV per atom. As for the crystal system: cubic. The calculation puts the distance to the lowest polymorph of the same formula at 944 meV/atom.

The structure belongs to space group Fm-3m (No. 225); the cell edges are 5.993, 5.993 and 5.993 Å and the angles 90.00°, 90.00° and 90.00°. The inequivalent atoms are Np at (0.000, 0.000, 0.000) and Sc at (0.000, 0.000, 0.500).



(23)
Computed, not measured: NpSc after structural relaxation at the PBE level of DFT.

Its final energy is -59.01 eV for the cell shown. Its calculated formation energy is 2173 meV per atom. As for the crystal system: cubic. The calculation puts the distance to the lowest polymorph of the same formula at 1897 meV/atom.

The structure belongs to space group F-43m (No. 216); the cell edges are 6.249, 6.249 and 6.249 Å and the angles 90.00°, 90.00° and 90.00°. The inequivalent atoms are Np at (0.000, 0.000, 0.000) and Sc at (0.250, 0.250, 0.750).



(24)
Computed, not measured: NpSc after structural relaxation at the PBE level of DFT.

Its final energy is -34.14 eV for the cell shown. Its calculated formation energy is 1013 meV per atom. As for the crystal system: hexagonal. The calculation puts the distance to the lowest polymorph of the same formula at 737 meV/atom.

The structure belongs to space group P6_3/mmc (No. 194); the cell edges are 3.7197, 3.7197 and 7.8402 Å and the angles 90.00°, 90.00° and 120.00°. The inequivalent atoms are Np at (0.3333, 0.6667, 0.2500) and Sc at (0.0000, 0.0000, 0.0000).



(25)
Computed, not measured: Np2Sc after structural relaxation at the PBE level of DFT.

Its final energy is -179.32 eV for the cell shown. Its calculated formation energy is 3151 meV per atom. As for the crystal system: cubic.

The structure belongs to space group Fd-3m (No. 227, origin choice 2); the cell edges are 10.846, 10.846 and 10.846 Å and the angles 90.00°, 90.00° and 90.00°. The inequivalent atoms are Np at (0.000, 0.000, 0.000) and Sc at (0.125, 0.125, 0.125).



(26)
Computed, not measured: NpSc after structural relaxation at the PBE level of DFT.

Its final energy is -18.55 eV for the cell shown. Its calculated formation energy is 276 meV per atom. As for the crystal system: hexagonal. The calculation puts the distance to the lowest polymorph of the same formula at 0 meV/atom.

The structure belongs to space group P-6m2 (No. 187); the cell edges are 3.0418, 3.0418 and 5.4621 Å and the angles 90.00°, 90.00° and 120.00°. The inequivalent atoms are Np at (0.0000, 0.0000, 0.0000) and Sc at (0.6667, 0.3333, 0.5000).



no.,magnetic moment (μB/atom)
1,1.13
2,0.95
3,1.00
4,1.00
5,2.07
6,2.34
7,1.00
8,1.38
9,2.50
10,1.00
11,1.00
12,1.00
13,1.19
14,0.43
15,1.14
16,1.96
17,1.35
18,2.24
19,1.57
20,1.94
21,3.08
22,2.96
23,3.03
24,2.44
25,1.74
26,1.52